(1)
A plane-wave DFT calculation with PBE was carried out for a relaxed structure of BaZn2HgRh.

As for the density of states at the Fermi level: 0.43 states/eV/atom. For the formation energy, the calculation gives -319 meV/atom. Its total energy is -2.744 eV/atom.

It has space group P4/mmm (No. 123), with a = 4.9119 Å, b = 4.9119 Å, c = 5.3218 Å, α = 90.00°, β = 90.00° and γ = 90.00°. The distinct sites, in fractional coordinates, are Ba at (0.0000, 0.0000, 0.0000), Zn at (0.0000, 0.5000, 0.5000), Hg at (0.5000, 0.5000, 0.0000) and Rh at (0.5000, 0.5000, 0.5000).


(2)
A plane-wave DFT calculation with PBE was carried out for a relaxed structure of HgPt2Cl.

As for the density of states at the Fermi level: 0.83 states/eV/atom. Its total energy is -3.193 eV/atom. The calculation puts the relative energy among the computed polymorphs at 0.256 eV/atom.

It has space group C2/m (No. 12), with a = 5.7457 Å, b = 9.7668 Å, c = 3.0027 Å, α = 90.00°, β = 120.54° and γ = 90.00°. The distinct sites, in fractional coordinates, are Hg at (0.0000, 0.0000, 0.0000), Pt at (0.2500, 0.2500, 0.0000) and Cl at (0.0000, 0.5000, 0.0000).


(3)
A plane-wave DFT calculation with PBE was carried out for a relaxed structure of La2Pm2CoHg2.

As for the density of states at the Fermi level: 0.88 states/eV/atom. For the formation energy, the calculation gives -273 meV/atom. Its total energy is -4.140 eV/atom.

It has space group C2/m (No. 12), with a = 14.8238 Å, b = 4.7023 Å, c = 6.6354 Å, α = 90.00°, β = 116.47° and γ = 90.00°. The distinct sites, in fractional coordinates, are La at (0.1947, 0.0000, 0.1940), Pm at (0.0001, 0.5000, 0.2553), Co at (0.0000, 0.0000, 0.0000) and Hg at (0.1260, 0.0000, 0.6257).


(4)
A plane-wave DFT calculation with PBE was carried out for a relaxed structure of Sm5AlPd2.

As for the density of states at the Fermi level: 1.10 states/eV/atom. For the formation energy, the calculation gives -495 meV/atom. Its total energy is -5.211 eV/atom.

It has space group I4/mcm (No. 140), with a = 7.9804 Å, b = 7.9804 Å, c = 13.4769 Å, α = 90.00°, β = 90.00° and γ = 90.00°. The distinct sites, in fractional coordinates, are Sm at (0.0000, 0.0000, 0.0000), Sm at (0.1608, 0.3392, 0.1437), Al at (0.0000, 0.0000, 0.2500) and Pd at (0.1311, 0.3689, 0.5000).


(5)
A plane-wave DFT calculation with PBE was carried out for a relaxed structure of PmNiBi.

As for the density of states at the Fermi level: 0.01 states/eV/atom. For the formation energy, the calculation gives -668 meV/atom. Its total energy is -5.472 eV/atom. The calculation puts the relative energy among the computed polymorphs at 0.000 eV/atom.

It has space group F-43m (No. 216), with a = 6.6047 Å, b = 6.6047 Å, c = 6.6047 Å, α = 90.00°, β = 90.00° and γ = 90.00°. The distinct sites, in fractional coordinates, are Pm at (0.0000, 0.0000, 0.0000), Ni at (0.2500, 0.2500, 0.7500) and Bi at (0.0000, 0.0000, 0.5000).


(6)
A plane-wave DFT calculation with PBE was carried out for a relaxed structure of SbTe2PbI.

As for the density of states at the Fermi level: 1.74 states/eV/atom. Its total energy is -2.471 eV/atom. The calculation puts the relative energy among the computed polymorphs at 0.468 eV/atom.

It has space group P4/mmm (No. 123), with a = 5.7915 Å, b = 5.7915 Å, c = 6.1079 Å, α = 90.00°, β = 90.00° and γ = 90.00°. The distinct sites, in fractional coordinates, are Sb at (0.0000, 0.0000, 0.0000), Te at (0.0000, 0.5000, 0.5000), Pb at (0.0000, 0.0000, 0.5000) and I at (0.5000, 0.5000, 0.0000).